meta-GGA SCAN BaAlCd3, PBEsol geometry; formation energy from the elements = -0.42 eV per formula unit
1.0
5.2351 0.0000 0.0000
0.0000 5.2351 0.0000
0.0000 0.0000 5.2351
Ba Al Cd
1 1 3
Cartesian
0.0000 0.0000 0.0000
2.6175 2.6175 2.6175
0.0000 2.6175 2.6175
2.6175 0.0000 2.6175
2.6175 2.6175 0.0000


meta-GGA SCAN BaMgCuF7, PBEsol geometry; formation energy (no corrections) = -3.09 eV per atom
1.0
5.4748 0.0000 0.0000
0.0000 9.7589 0.0000
-0.4920 0.0000 9.4783
Ba Mg Cu F
4 4 4 28
Cartesian
1.0502 1.7588 4.7263
0.8042 3.1206 9.4654
4.1786 6.6383 0.0129
3.9326 8.0001 4.7520
0.9314 5.8791 2.9434
0.6854 8.7593 7.6826
4.2973 0.9996 1.7957
4.0513 3.8799 6.5348
1.3369 6.0072 6.5110
1.5828 8.6312 1.7719
3.3999 1.1277 7.7064
3.6459 3.7518 2.9672
-0.2223 6.9635 7.1171
0.0237 7.6749 2.3780
0.5902 5.2850 1.1807
0.3442 9.3534 5.9199
0.6641 0.4468 1.2340
0.4181 4.4327 5.9731
1.0627 6.7546 4.7600
1.3087 7.8838 0.0209
1.6866 5.3201 8.2043
1.9326 9.3183 3.4652
1.7041 0.5442 8.3155
1.9501 4.3353 3.5764
2.5044 7.0281 2.3486
2.2584 7.6103 7.0878
2.7244 2.1486 2.3905
2.4784 2.7309 7.1296
3.0327 5.4237 5.9019
3.2787 9.2147 1.1628
3.0502 0.4406 6.0131
3.2962 4.4388 1.2740
3.6741 1.8751 9.4574
3.9201 3.0043 4.7183
4.5647 5.3263 3.5051
4.3187 9.3121 8.2443
4.6386 0.4056 3.5584
4.3926 4.4739 8.2975
4.9591 2.0841 7.1003
5.2051 2.7954 2.3612


meta-GGA SCAN InAg2Cl, PBEsol geometry; formation energy (no corrections) = -0.22 eV per atom
1.0
3.3503 0.0000 0.0000
-1.6751 2.9014 0.0000
0.0000 0.0000 24.2680
In Ag Cl
3 6 3
Cartesian
0.0000 0.0000 0.0000
0.0000 1.9343 16.1787
1.6751 0.9671 8.0893
0.0000 0.0000 5.9986
0.0000 0.0000 18.2694
0.0000 1.9343 10.1800
0.0000 1.9343 22.1773
1.6751 0.9671 2.0907
1.6751 0.9671 14.0880
0.0000 0.0000 12.1340
0.0000 1.9343 4.0447
1.6751 0.9671 20.2233


meta-GGA SCAN CdCu3, PBEsol geometry; formation energy from the elements = 0.26 eV per formula unit
1.0
4.3066 0.0000 0.0000
0.0000 5.2746 0.0000
0.0000 0.0000 4.6773
Cd Cu
2 6
Cartesian
1.0767 1.3186 0.7049
3.2300 3.9559 3.9724
1.0767 0.0094 3.0556
1.0767 2.6279 3.0556
1.0767 3.9559 0.9199
3.2300 1.3186 3.7574
3.2300 2.6467 1.6217
3.2300 5.2652 1.6217


no.,size of the total moment (Bohr magnetons per cell)
1,0.00
2,8.23
3,0.00
4,0.00